[1]
The following is a DFT calculation (PBE-GGA) of a relaxed GdErBPb crystal.

The value obtained for the total energy is -5.09 eV/atom.

a = 3.7000 Å, b = 3.7000 Å, c = 16.7326 Å
α = 90.00°, β = 90.00°, γ = 120.00°
Each line ends with the local moment (μB).
Sites, in units of the cell vectors:
Pb 0.3333 0.6667 0.0000  0.00
Gd 0.6667 0.3333 0.8373  0.03
B 0.0000 0.0000 0.7464  0.06
Er 0.3333 0.6667 0.3410  0.03
Gd 0.6667 0.3333 0.1627  0.03
Er 0.3333 0.6667 0.6590  0.03
Pb 0.6667 0.3333 0.5000  0.00
B 0.0000 0.0000 0.2536  0.06


[2]
The following is a DFT calculation (PBE-GGA) of a relaxed GdEr3B2Pb2 crystal.

The value obtained for the total energy is -5.10 eV/atom.

a = 3.6791 Å, b = 3.6791 Å, c = 16.6482 Å
α = 90.00°, β = 90.00°, γ = 120.00°
Each line ends with the local moment (μB).
Sites, in units of the cell vectors:
Gd 0.0000 0.0000 0.9104  0.01
B 0.3333 0.6667 0.4991  0.09
Er 0.6667 0.3333 0.0915  0.01
Pb 0.0000 0.0000 0.2510  0.00
Pb 0.6667 0.3333 0.7470  0.00
Er 0.6667 0.3333 0.4115  0.05
Er 0.0000 0.0000 0.5869  0.06
B 0.3333 0.6667 0.0028  0.03


[3]
The following is a DFT calculation (PBE-GGA) of a relaxed GdErBPb crystal.

The value obtained for the total energy is -5.09 eV/atom.

a = 3.6905 Å, b = 3.6905 Å, c = 16.7765 Å
α = 90.00°, β = 90.00°, γ = 120.00°
Each line ends with the local moment (μB).
Sites, in units of the cell vectors:
B 0.0000 0.0000 0.5000  0.01
Pb 0.3333 0.6667 0.7540  0.00
Gd 0.3333 0.6667 0.4076  0.00
Er 0.3333 0.6667 0.0867  0.09
Er 0.6667 0.3333 0.9133  0.09
Pb 0.6667 0.3333 0.2460  0.00
B 0.0000 0.0000 0.0000  0.14
Gd 0.6667 0.3333 0.5924  0.00


[4]
The following is a DFT calculation (PBE-GGA) of a relaxed ErGeB crystal.

The value obtained for the total energy is -5.21 eV/atom.

a = 4.1652 Å, b = 4.1652 Å, c = 4.1652 Å
α = 60.00°, β = 60.00°, γ = 60.00°
Sites, in units of the cell vectors:
Ge 0.7500 0.7500 0.7500
Er 0.2500 0.2500 0.2500
B 0.0000 0.0000 0.0000


[5]
The following is a DFT calculation (PBE-GGA) of a relaxed ErGeB crystal.

The value obtained for the total energy is -4.62 eV/atom.

a = 4.3303 Å, b = 4.3303 Å, c = 4.3303 Å
α = 60.00°, β = 60.00°, γ = 60.00°
Sites, in units of the cell vectors:
Ge 0.0000 0.0000 0.0000
B 0.2500 0.2500 0.2500
Er 0.7500 0.7500 0.7500


[6]
The following is a DFT calculation (PBE-GGA) of a relaxed ErBH8SO10 crystal.

The value obtained for the total energy is -5.99 eV/atom.

a = 5.8250 Å, b = 6.7278 Å, c = 9.7456 Å
α = 79.70°, β = 76.84°, γ = 88.82°
Sites, in units of the cell vectors:
H 0.2375 0.4175 0.9575
H 0.5872 0.2725 0.4865
O 0.7053 0.1386 0.9701
H 0.4319 0.2662 0.0073
H 0.4974 0.0217 0.3008
O 0.5784 0.5020 0.7425
O 0.6946 0.3135 0.3918
H 0.7625 0.5825 0.0425
Er 0.9162 0.6842 0.7230
H 0.5266 0.3839 0.7095
H 0.7803 0.2574 0.0819
O 0.0226 0.0042 0.7206
O 0.2067 0.6419 0.8549
O 0.3879 0.2016 0.6477
O 0.5662 0.8433 0.7268
O 0.4216 0.4980 0.2575
B 0.5846 0.3290 0.2701
O 0.9774 0.9958 0.2794
H 0.2699 0.0076 0.0225
Er 0.0838 0.3158 0.2770
O 0.2947 0.8614 0.0299
H 0.2197 0.7426 0.9181
S 0.8713 0.7948 0.3453
H 0.5026 0.9783 0.6992
H 0.8137 0.2042 0.8802
O 0.0158 0.3464 0.7510
O 0.4338 0.1567 0.2732
O 0.0829 0.2703 0.5120
O 0.7372 0.6992 0.9672
H 0.5681 0.7338 0.9927
O 0.3054 0.6865 0.6082
O 0.9842 0.6536 0.2490
O 0.7933 0.3581 0.1451
H 0.7301 0.9924 0.9775
S 0.1287 0.2052 0.6547
H 0.4734 0.6161 0.2905
O 0.2628 0.3008 0.0328
O 0.6122 0.7984 0.3523
H 0.4128 0.7275 0.5135
B 0.4154 0.6710 0.7299
O 0.9171 0.7297 0.4880
H 0.1863 0.7958 0.1198


Summary of magnetization in μB per formula unit
0.2, 0.3, 0.2, 0.0, 0.0, 0.0
(order as listed above)